HfZn3Fe GGA-PBE optimized geometry; energy of formation = 1.46 eV per atom; relative energy among the computed polymorphs = 995 meV per atom; Fermi-level density of states = 4.4 states/eV per cell
1.0
5.1062 0.0000 0.0000
0.0000 5.1062 0.0000
0.0000 0.0000 5.1062
Hf Zn Fe
1 3 1
direct
0.0000 0.0000 0.0000
0.0000 0.0000 0.5000
0.0000 0.5000 0.0000
0.5000 0.0000 0.0000
0.5000 0.5000 0.5000

---

PdRhPb4 GGA-PBE optimized geometry; energy of formation = -0.12 eV per atom; relative energy among the computed polymorphs = 12 meV per atom; Fermi-level density of states = 4.9 states/eV per cell
1.0
6.0423 0.1404 0.0000
-1.3915 7.5019 0.0000
-2.3254 -3.8211 6.5917
Pb Rh Pd
8 2 2
direct
0.7885 0.6972 0.6487
0.6399 0.0485 0.3513
0.6373 0.3721 0.1292
0.9919 0.7572 0.1292
0.3627 0.6279 0.8708
0.2115 0.3028 0.3513
0.3601 0.9515 0.6487
0.0081 0.2428 0.8708
0.7590 0.0090 0.0179
0.2410 0.9910 0.9821
0.6041 0.3541 0.7082
0.3959 0.6459 0.2918

---

Pu5Zr3H12 GGA-PBE optimized geometry; electronic total energy = -7.073 eV per atom; Fermi-level density of states = 148.5 states/eV per cell
1.0
10.8065 0.0000 0.0000
-3.6022 10.1885 0.0000
-3.6022 -5.0943 8.8235
Pu H Zr
20 48 12
direct
0.7500 0.1250 0.8750
0.8750 0.2500 0.6250
0.5000 0.5000 0.0000
0.0000 0.0000 0.0000
0.3750 0.2500 0.1250
0.8750 0.6250 0.7500
0.6250 0.7500 0.8750
0.2500 0.8750 0.1250
0.3750 0.1250 0.7500
0.7500 0.6250 0.3750
0.2500 0.3750 0.6250
0.1250 0.7500 0.3750
0.6250 0.8750 0.2500
0.5000 0.0000 0.0000
0.1250 0.3750 0.2500
0.5000 0.0000 0.5000
0.0000 0.0000 0.5000
0.0000 0.5000 0.0000
0.0000 0.5000 0.5000
0.5000 0.5000 0.5000
0.9222 0.0743 0.8392
0.7649 0.3480 0.9257
0.0778 0.1520 0.4169
0.9257 0.8480 0.7649
0.5743 0.7351 0.6520
0.3480 0.5831 0.4222
0.0743 0.1520 0.2351
0.5778 0.9169 0.6520
0.9222 0.8480 0.5831
0.7351 0.1608 0.0831
0.8392 0.5743 0.9222
0.8392 0.2649 0.4169
0.5831 0.2351 0.1608
0.1520 0.0743 0.7351
0.0778 0.9257 0.1608
0.3392 0.4222 0.0743
0.8480 0.9222 0.0831
0.6608 0.0831 0.2351
0.4222 0.3392 0.5743
0.0831 0.6608 0.7351
0.6608 0.5778 0.9257
0.2649 0.4257 0.8480
0.4222 0.0831 0.3480
0.4257 0.2649 0.3480
0.7351 0.5743 0.1520
0.1608 0.4257 0.0778
0.2649 0.8392 0.9169
0.1608 0.7351 0.5831
0.5743 0.8392 0.4222
0.4257 0.1608 0.5778
0.3480 0.7649 0.4257
0.9257 0.0778 0.6608
0.2351 0.6520 0.0743
0.6520 0.2351 0.5743
0.7649 0.4169 0.3392
0.6520 0.4169 0.5778
0.4169 0.7649 0.8392
0.2351 0.5831 0.6608
0.4169 0.6520 0.0778
0.5831 0.3480 0.9222
0.3392 0.9169 0.7649
0.0831 0.4222 0.8480
0.1520 0.0778 0.9169
0.9169 0.3392 0.2649
0.0743 0.9222 0.3392
0.8480 0.9257 0.2649
0.9169 0.5778 0.1520
0.5778 0.6608 0.4257
0.1250 0.8750 0.7500
0.1250 0.2500 0.8750
0.2500 0.1250 0.3750
0.7500 0.3750 0.1250
0.6250 0.2500 0.3750
0.8750 0.7500 0.1250
0.8750 0.1250 0.2500
0.3750 0.6250 0.2500
0.7500 0.8750 0.6250
0.3750 0.7500 0.6250
0.2500 0.6250 0.8750
0.6250 0.3750 0.7500

---

Mg2Zn4Se GGA-PBE optimized geometry; raw formation energy = 326 meV/atom; relative energy among the computed polymorphs = 549 meV per atom; Fermi-level density of states = 3.7 states/eV per cell
1.0
-2.5371 2.5371 6.8775
2.5371 -2.5371 6.8775
2.5371 2.5371 -6.8775
Se Zn Mg
1 4 2
direct
0.0000 0.0000 0.0000
0.5000 0.0000 0.5000
0.0000 0.5000 0.5000
0.8095 0.8095 0.0000
0.1905 0.1905 0.0000
0.6163 0.6163 0.0000
0.3837 0.3837 0.0000